[1]
Compound: BeCrP2
Source: Alexandria via LeMat-Bulk
Functional: PBE-GGA
Structure: optimized geometry

Properties
Crystal system: tetragonal
Space-group type: I-42d

a b c (Å): 5.1221 5.1221 6.3629
angles (deg): 66.27 66.27 90.00
With the nearest neighbours (Å) after each atom.
Fractional coordinates of all 8 atoms:
1 Cr 0.0000 0.0000 0.0000  4 P 2.29
2 Cr 0.7500 0.2500 0.5000  4 P 2.29
3 Be 0.5000 0.5000 0.0000  4 P 2.18
4 Be 0.2500 0.7500 0.5000  4 P 2.18
5 P 0.6077 0.1250 0.2500  2 Be 2.18, 2 Cr 2.29
6 P 0.1423 0.6250 0.2500  2 Be 2.18, 2 Cr 2.29
7 P 0.3750 0.3923 0.7500  2 Be 2.18, 2 Cr 2.29
8 P 0.8750 0.8577 0.7500  2 Be 2.18, 2 Cr 2.29

---

[2]
Compound: Be2CrP
Source: Alexandria via LeMat-Bulk
Functional: PBE-GGA
Structure: optimized geometry

Properties
Crystal system: orthorhombic
Space-group type: Immm

a b c (Å): 4.3962 4.3962 4.3962
angles (deg): 137.69 135.48 63.10
With the nearest neighbours (Å) after each atom.
Fractional coordinates of all 4 atoms:
1 Cr 0.7500 0.2500 0.5000  4 P 2.30, 8 Be 2.46-2.50
2 Be 0.0016 0.0016 0.0000  4 Be 2.30, 4 P 2.45-2.52, 4 Cr 2.46-2.50
3 Be 0.4984 0.4984 0.0000  4 Be 2.30, 4 P 2.45-2.52, 4 Cr 2.46-2.50
4 P 0.2500 0.7500 0.5000  4 Cr 2.30, 8 Be 2.45-2.52

---

no.,electronic total energy (eV/atom)
1,-6.0253
2,-5.7195